# PBE NpTl3Pb2O6, optimized geometry
# * volume: 481 Å³/cell
# * crystal system: monoclinic
# * total moment: 1.82 μB per cell
# * DOS(E_F): 2.947 states/eV/f.u.
# * raw formation energy: -1.44 eV/atom
data_NpTl3Pb2O6
_chemical_formula_sum 'Np2 Tl6 Pb4 O12'
_cell_length_a 6.6253
_cell_length_b 10.6386
_cell_length_c 7.4402
_cell_angle_alpha 90.00
_cell_angle_beta 113.57
_cell_angle_gamma 90.00
_symmetry_space_group_name_H-M 'C 1 2/m 1'
_symmetry_Int_Tables_number 12
loop_
_symmetry_equiv_pos_as_xyz
'x,y,z'
'-x,-y,-z'
'-x,y,-z'
'x,-y,z'
'x+1/2,y+1/2,z'
'-x+1/2,-y+1/2,-z'
'-x+1/2,y+1/2,-z'
'x+1/2,-y+1/2,z'
loop_
_atom_site_label
_atom_site_fract_x
_atom_site_fract_y
_atom_site_fract_z
_atom_site_occupancy
Np1 0.0000 0.0000 0.0000 1
Tl1 0.0000 0.1628 0.5000 1
Tl2 0.0000 0.5000 0.5000 1
Pb1 0.0000 0.3296 0.0000 1
O1 0.1523 0.0000 0.8118 1
O2 0.2168 0.1461 0.1589 1